No. 1
Here is a geometry-optimized AcPr2HoS6 structure from the Alexandria database. Energies are from GGA-PBE.

a = 7.2504 Å, b = 7.2502 Å, c = 7.6010 Å
α = 61.50°, β = 61.50°, γ = 59.99°
Last column: nearest neighbours and their distance in Å.
Fractional positions:
Ac 0.8072 0.8072 0.5783  6 S 2.93-3.05
Pr 0.5240 0.5240 0.4280  6 S 2.85-2.92
Pr 0.0174 0.0175 0.9477  6 S 2.81-2.93
Ho 0.3173 0.3173 0.0481  6 S 2.75-2.77
S 0.6029 0.2140 0.2491  1 Ho 2.75, 2 Pr 2.85-2.93, 1 Ac 3.05
S 0.2140 0.9340 0.2491  1 Ho 2.75, 2 Pr 2.85-2.93, 1 Ac 3.05
S 0.9340 0.6029 0.2492  1 Ho 2.75, 2 Pr 2.85-2.93, 1 Ac 3.05
S 0.3979 0.7067 0.7552  1 Ho 2.77, 2 Pr 2.81-2.92, 1 Ac 2.93
S 0.7067 0.1402 0.7552  1 Ho 2.77, 2 Pr 2.81-2.92, 1 Ac 2.93
S 0.1402 0.3979 0.7553  1 Ho 2.77, 2 Pr 2.81-2.92, 1 Ac 2.93

Computed properties:
DFT total energy = -6.338 eV/atom
M_tot = 0.0 μB/f.u.
density = 4.981 Mg/m³
uncorrected formation energy = -2.037 eV per atom

No. 2
Here is a geometry-optimized Ac3Pr2HoS6 structure from the Alexandria database. Energies are from GGA-PBE.

a = 7.2019 Å, b = 7.2019 Å, c = 7.2598 Å
α = 99.55°, β = 99.55°, γ = 120.09°
Last column: nearest neighbours and their distance in Å.
Fractional positions:
Ac 0.1709 0.8291 0.5000  6 S 3.00-3.07
Ac 0.8291 0.1709 0.5000  6 S 3.00-3.07
Ac 0.5000 0.5000 0.5000  6 S 3.00-3.09
Pr 0.3334 0.6666 0.0000  6 S 2.90-2.92
Pr 0.6666 0.3334 0.0000  6 S 2.90-2.92
Ho 0.0000 0.0000 0.0000  6 S 2.79-2.81
S 0.9240 0.6029 0.7711  1 Ho 2.79, 2 Pr 2.90-2.91, 3 Ac 3.00-3.07
S 0.7571 0.7571 0.2340  1 Ho 2.81, 2 Pr 2.92, 3 Ac 3.01-3.09
S 0.0760 0.3971 0.2289  1 Ho 2.79, 2 Pr 2.90-2.91, 3 Ac 3.00-3.07
S 0.6029 0.9240 0.7711  1 Ho 2.79, 2 Pr 2.90-2.91, 3 Ac 3.00-3.07
S 0.2429 0.2429 0.7660  1 Ho 2.81, 2 Pr 2.92, 3 Ac 3.01-3.09
S 0.3971 0.0760 0.2289  1 Ho 2.79, 2 Pr 2.90-2.91, 3 Ac 3.00-3.07

Computed properties:
DFT total energy = -6.267 eV/atom
M_tot = 0.0 μB/f.u.
density = 7.134 Mg/m³
uncorrected formation energy = -1.998 eV per atom

No. 3
Here is a geometry-optimized AcPr2HoS4 structure from the Alexandria database. Energies are from GGA-PBE.

a = 4.0514 Å, b = 7.2213 Å, c = 7.0855 Å
α = 108.73°, β = 90.00°, γ = 90.00°
Last column: nearest neighbours and their distance in Å.
Fractional positions:
Ac 0.0000 0.0000 0.0000  6 S 2.96
Pr 0.5000 0.0000 0.5000  6 S 3.00-3.01
Pr 0.0000 0.5000 0.5000  6 S 2.86
Ho 0.5000 0.5000 0.0000  6 S 2.81
S 0.5000 0.2665 0.2497  1 Ho 2.81, 3 Pr 2.86-3.01, 2 Ac 2.96
S 0.5000 0.7335 0.7503  1 Ho 2.81, 3 Pr 2.86-3.01, 2 Ac 2.96
S 0.0000 0.2698 0.7624  2 Ho 2.81, 3 Pr 2.86-3.00, 1 Ac 2.96
S 0.0000 0.7302 0.2376  2 Ho 2.81, 3 Pr 2.86-3.00, 1 Ac 2.96

Computed properties:
DFT total energy = -6.321 eV/atom
M_tot = 0.0 μB/f.u.
density = 6.784 Mg/m³
uncorrected formation energy = -1.977 eV per atom

No. 4
Here is a geometry-optimized Ac2PrHoSb4 structure from the Alexandria database. Energies are from GGA-PBE.

a = 4.6363 Å, b = 8.0261 Å, c = 8.0232 Å
α = 70.53°, β = 90.00°, γ = 90.00°
Last column: nearest neighbours and their distance in Å.
Fractional positions:
Ac 0.0000 0.0000 0.0000  6 Sb 3.39
Ac 0.5000 0.0000 0.5000  6 Sb 3.33
Pr 0.5000 0.5000 0.0000  6 Sb 3.22-3.23
Ho 0.0000 0.5000 0.5000  6 Sb 3.17
Sb 0.0000 0.7333 0.7501  1 Ho 3.17, 2 Pr 3.22, 3 Ac 3.33-3.39
Sb 0.0000 0.2667 0.2499  1 Ho 3.17, 2 Pr 3.22, 3 Ac 3.33-3.39
Sb 0.5000 0.7297 0.2621  2 Ho 3.17, 1 Pr 3.23, 3 Ac 3.33-3.39
Sb 0.5000 0.2703 0.7379  2 Ho 3.17, 1 Pr 3.23, 3 Ac 3.33-3.39

Computed properties:
DFT total energy = -5.421 eV/atom
M_tot = 0.0 μB/f.u.
density = 7.356 Mg/m³
uncorrected formation energy = -1.163 eV per atom

No. 5
Here is a geometry-optimized AcPrHoSc structure from the Alexandria database. Energies are from GGA-PBE.

a = 5.7616 Å, b = 5.7616 Å, c = 5.7616 Å
α = 60.00°, β = 60.00°, γ = 60.00°
Last column: nearest neighbours and their distance in Å.
Fractional positions:
Pr 0.7500 0.7500 0.7500  4 Sc 3.53, 4 Ho 3.53
Sc 0.0000 0.0000 0.0000  4 Pr 3.53, 4 Ac 3.53
Ac 0.2500 0.2500 0.2500  4 Ho 3.53, 4 Sc 3.53
Ho 0.5000 0.5000 0.5000  4 Ac 3.53, 4 Pr 3.53

Computed properties:
DFT total energy = -4.842 eV/atom
M_tot = 0.0 μB/f.u.
density = 7.094 Mg/m³
ΔE_f = 0.43 eV per formula unit

No. 6
Here is a geometry-optimized AcPrHo2Se4 structure from the Alexandria database. Energies are from GGA-PBE.

a = 4.1065 Å, b = 7.5934 Å, c = 7.1416 Å
α = 71.82°, β = 90.00°, γ = 90.00°
Last column: nearest neighbours and their distance in Å.
Fractional positions:
Ac 0.5000 0.5000 0.0000  6 Se 3.11-3.12
Pr 0.0000 0.5000 0.5000  6 Se 3.08-3.09
Ho 0.0000 0.0000 0.0000  6 Se 2.89
Ho 0.5000 0.0000 0.5000  6 Se 2.85-2.86
Se 0.0000 0.7782 0.7363  3 Ho 2.85-2.89, 1 Pr 3.09, 2 Ac 3.12
Se 0.0000 0.2218 0.2637  3 Ho 2.85-2.89, 1 Pr 3.09, 2 Ac 3.12
Se 0.5000 0.7746 0.2455  3 Ho 2.86-2.89, 2 Pr 3.08, 1 Ac 3.11
Se 0.5000 0.2254 0.7545  3 Ho 2.86-2.89, 2 Pr 3.08, 1 Ac 3.11

Computed properties:
DFT total energy = -5.783 eV/atom
M_tot = 0.0 μB/f.u.
density = 7.955 Mg/m³
uncorrected formation energy = -1.786 eV per atom

No. 7
Here is a geometry-optimized Ac2PrHoSe4 structure from the Alexandria database. Energies are from GGA-PBE.

a = 4.2169 Å, b = 7.3793 Å, c = 7.6886 Å
α = 108.32°, β = 90.00°, γ = 90.00°
Last column: nearest neighbours and their distance in Å.
Fractional positions:
Ac 0.5000 0.0000 0.5000  6 Se 3.11-3.12
Ac 0.0000 0.5000 0.5000  6 Se 3.20
Pr 0.5000 0.5000 0.0000  6 Se 3.00
Ho 0.0000 0.0000 0.0000  6 Se 2.91
Se 0.5000 0.2319 0.2238  2 Ho 2.91, 1 Pr 3.00, 3 Ac 3.12-3.20
Se 0.5000 0.7681 0.7762  2 Ho 2.91, 1 Pr 3.00, 3 Ac 3.12-3.20
Se 0.0000 0.2473 0.7698  1 Ho 2.91, 2 Pr 3.00, 3 Ac 3.11-3.20
Se 0.0000 0.7527 0.2302  1 Ho 2.91, 2 Pr 3.00, 3 Ac 3.11-3.20

Computed properties:
DFT total energy = -5.751 eV/atom
M_tot = 0.0 μB/f.u.
density = 7.864 Mg/m³
uncorrected formation energy = -1.812 eV per atom

No. 8
Here is a geometry-optimized Ac3Pr2HoSe6 structure from the Alexandria database. Energies are from GGA-PBE.

a = 7.4721 Å, b = 7.4721 Å, c = 7.5588 Å
α = 99.49°, β = 99.49°, γ = 120.15°
Last column: nearest neighbours and their distance in Å.
Fractional positions:
Ac 0.1721 0.8279 0.5000  6 Se 3.12-3.18
Ac 0.8279 0.1721 0.5000  6 Se 3.12-3.18
Ac 0.5000 0.5000 0.5000  6 Se 3.12-3.20
Pr 0.3335 0.6665 0.0000  6 Se 3.02-3.04
Pr 0.6665 0.3335 0.0000  6 Se 3.02-3.04
Ho 0.0000 0.0000 0.0000  6 Se 2.90-2.93
Se 0.9240 0.6026 0.7708  1 Ho 2.90, 2 Pr 3.02, 3 Ac 3.12-3.18
Se 0.7574 0.7574 0.2353  1 Ho 2.93, 2 Pr 3.04, 3 Ac 3.14-3.20
Se 0.0760 0.3974 0.2292  1 Ho 2.90, 2 Pr 3.02, 3 Ac 3.12-3.18
Se 0.6026 0.9240 0.7708  1 Ho 2.90, 2 Pr 3.02, 3 Ac 3.12-3.18
Se 0.2426 0.2426 0.7647  1 Ho 2.93, 2 Pr 3.04, 3 Ac 3.14-3.20
Se 0.3974 0.0760 0.2292  1 Ho 2.90, 2 Pr 3.02, 3 Ac 3.12-3.18

Computed properties:
DFT total energy = -5.777 eV/atom
M_tot = 0.0 μB/f.u.
density = 7.720 Mg/m³
uncorrected formation energy = -1.830 eV per atom

No. 9
Here is a geometry-optimized AcPr2HoSe4 structure from the Alexandria database. Energies are from GGA-PBE.

a = 4.1950 Å, b = 7.5566 Å, c = 7.3344 Å
α = 108.53°, β = 90.00°, γ = 90.00°
Last column: nearest neighbours and their distance in Å.
Fractional positions:
Ac 0.0000 0.0000 0.0000  6 Se 3.07-3.08
Pr 0.5000 0.0000 0.5000  6 Se 3.12
Pr 0.0000 0.5000 0.5000  6 Se 2.97-2.98
Ho 0.5000 0.5000 0.0000  6 Se 2.93
Se 0.5000 0.2659 0.2504  1 Ho 2.93, 3 Pr 2.97-3.12, 2 Ac 3.08
Se 0.5000 0.7341 0.7496  1 Ho 2.93, 3 Pr 2.97-3.12, 2 Ac 3.08
Se 0.0000 0.2685 0.7611  2 Ho 2.93, 3 Pr 2.98-3.12, 1 Ac 3.07
Se 0.0000 0.7315 0.2389  2 Ho 2.93, 3 Pr 2.98-3.12, 1 Ac 3.07

Computed properties:
DFT total energy = -5.818 eV/atom
M_tot = 0.0 μB/f.u.
density = 7.454 Mg/m³
uncorrected formation energy = -1.795 eV per atom

No. 10
Here is a geometry-optimized Ac2Pr3HoSe6 structure from the Alexandria database. Energies are from GGA-PBE.

a = 7.4665 Å, b = 7.4665 Å, c = 7.4342 Å
α = 99.69°, β = 99.69°, γ = 120.11°
Last column: nearest neighbours and their distance in Å.
Fractional positions:
Ac 0.3346 0.6654 0.0000  6 Se 3.09-3.11
Ac 0.6654 0.3346 0.0000  6 Se 3.09-3.11
Pr 0.1750 0.8250 0.5000  6 Se 3.00-3.08
Pr 0.8250 0.1750 0.5000  6 Se 3.00-3.08
Pr 0.5000 0.5000 0.5000  6 Se 3.00-3.13
Ho 0.0000 0.0000 0.0000  6 Se 2.92-2.96
Se 0.9186 0.6023 0.7525  1 Ho 2.92, 3 Pr 3.00-3.08, 2 Ac 3.09
Se 0.7707 0.7707 0.2564  1 Ho 2.96, 3 Pr 3.04-3.13, 2 Ac 3.11
Se 0.0814 0.3977 0.2475  1 Ho 2.92, 3 Pr 3.00-3.08, 2 Ac 3.09
Se 0.6023 0.9186 0.7525  1 Ho 2.92, 3 Pr 3.00-3.08, 2 Ac 3.09
Se 0.2293 0.2293 0.7436  1 Ho 2.96, 3 Pr 3.04-3.13, 2 Ac 3.11
Se 0.3977 0.0814 0.2475  1 Ho 2.92, 3 Pr 3.00-3.08, 2 Ac 3.09

Computed properties:
DFT total energy = -5.819 eV/atom
M_tot = 0.0 μB/f.u.
density = 7.456 Mg/m³
uncorrected formation energy = -1.816 eV per atom

No. 11
Here is a geometry-optimized AcPr4Ho3Se8 structure from the Alexandria database. Energies are from GGA-PBE.

a = 8.3856 Å, b = 8.4959 Å, c = 8.3867 Å
α = 119.58°, β = 120.00°, γ = 90.00°
Last column: nearest neighbours and their distance in Å.
Fractional positions:
Ac 0.0000 0.5000 0.0000  6 Se 3.03
Pr 0.5000 0.0000 0.0000  6 Se 2.94-2.95
Pr 0.5000 0.0000 0.5000  6 Se 3.07
Pr 0.0000 0.0000 0.0000  6 Se 3.07
Pr 0.0000 0.0000 0.5000  6 Se 3.07
Ho 0.5000 0.5000 0.0000  6 Se 2.90
Ho 0.5000 0.5000 0.5000  6 Se 2.90-2.91
Ho 0.0000 0.5000 0.5000  6 Se 2.90-2.91
Se 0.2536 0.7394 0.9856  2 Ho 2.90, 3 Pr 2.94-3.07, 1 Ac 3.03
Se 0.2535 0.7387 0.5070  2 Ho 2.90, 3 Pr 2.95-3.07, 1 Ac 3.03
Se 0.2569 0.2702 0.5139  3 Ho 2.90-2.91, 3 Pr 3.07
Se 0.7319 0.7394 0.9856  2 Ho 2.90, 3 Pr 2.94-3.07, 1 Ac 3.03
Se 0.2681 0.2606 0.0144  2 Ho 2.90, 3 Pr 2.94-3.07, 1 Ac 3.03
Se 0.7431 0.7298 0.4861  3 Ho 2.90-2.91, 3 Pr 3.07
Se 0.7465 0.2613 0.4930  2 Ho 2.90, 3 Pr 2.95-3.07, 1 Ac 3.03
Se 0.7464 0.2606 0.0144  2 Ho 2.90, 3 Pr 2.94-3.07, 1 Ac 3.03

Computed properties:
DFT total energy = -5.835 eV/atom
M_tot = 0.0 μB/f.u.
density = 7.488 Mg/m³
uncorrected formation energy = -1.783 eV per atom

No. 12
Here is a geometry-optimized AcPr5Sm2Ho structure from the Alexandria database. Energies are from GGA-PBE.

a = 9.1487 Å, b = 9.1487 Å, c = 10.1842 Å
α = 116.69°, β = 116.69°, γ = 90.00°
Last column: nearest neighbours and their distance in Å.
Fractional positions:
Ac 0.2500 0.2500 0.5000  10 Pr 3.78-3.93
Ac 0.7500 0.7500 0.5000  10 Pr 3.78-3.93
Pr 0.9294 0.4294 0.2648  1 Sm 3.15, 1 Ho 3.21
Pr 0.6646 0.1646 0.7352  1 Sm 3.15, 1 Ho 3.21
Pr 0.0706 0.5706 0.7352  1 Sm 3.15, 1 Ho 3.21
Pr 0.1646 0.0706 0.7352  1 Sm 3.15, 1 Ho 3.21
Pr 0.5706 0.6646 0.7352  1 Sm 3.15, 1 Ho 3.21
Pr 0.8354 0.9294 0.2648  1 Sm 3.15, 1 Ho 3.21
Pr 0.4294 0.3354 0.2648  1 Sm 3.15, 1 Ho 3.21
Pr 0.3354 0.8354 0.2648  1 Sm 3.15, 1 Ho 3.21
Pr 0.5000 0.5000 0.0000  4 Sm 3.68, 8 Pr 3.89-3.90, 2 Ac 3.93
Pr 0.0000 0.0000 0.0000  4 Sm 3.68, 8 Pr 3.89-3.90, 2 Ac 3.93
Sm 0.1147 0.3853 0.0000  1 Sm 2.97, 2 Pr 3.15
Sm 0.6147 0.1147 0.0000  1 Sm 2.97, 2 Pr 3.15
Sm 0.3853 0.8853 0.0000  1 Sm 2.97, 2 Pr 3.15
Sm 0.8853 0.6147 0.0000  1 Sm 2.97, 2 Pr 3.15
Ho 0.2500 0.7500 0.5000  4 Pr 3.21
Ho 0.7500 0.2500 0.5000  4 Pr 3.21

Computed properties:
DFT total energy = -4.407 eV/atom
M_tot = 0.0 μB/f.u.
density = 7.048 Mg/m³
ΔE_f = 2.36 eV per formula unit

Listing volume for the structures above in their given order: 288.8 307.3 196.3 281.5 135.2 211.6 227.1 344.5 220.4 337.5 425.2 658.4 Å³ per cell.